[1]
DFT (PBE) results for an optimized crystal structure of Te2MoBr.

Computed properties:
**Space-group type**: C2/m (12)
**Spin magnetization**: 0.94 μB/atom
**Density**: 6.318 g/cm³
**E_form (uncorrected)**: 0.6593 eV/atom

abc: 5.2844 5.2844 5.2585
angles: 110.87 110.87 106.37
Last column: nearest neighbours and their distance in Å.
Sites, in units of the cell vectors:
Te: 0.0000 0.5000 0.0000  2 Mo 2.99, 2 Br 2.99, 2 Te 3.17
Te: 0.5000 0.0000 0.0000  2 Mo 2.99, 2 Br 2.99, 2 Te 3.17
Mo: 0.0000 0.0000 0.5000  4 Te 2.99, 2 Br 3.17
Br: 0.5000 0.5000 0.5000  4 Te 2.99, 2 Mo 3.17

=====

[2]
DFT (PBE) results for an optimized crystal structure of MnC3.

Computed properties:
**Space-group type**: Immm (71)
**Spin magnetization**: 0.18 μB/atom
**Density**: 5.478 g/cm³
**Formation energy**: 1.731 eV/atom

abc: 3.7149 3.7149 3.7149
angles: 141.58 117.71 75.61
Last column: nearest neighbours and their distance in Å.
Sites, in units of the cell vectors:
Mn: 0.0000 0.0000 0.0000  12 C 2.20-2.28, 2 Mn 2.44
C: 0.3170 0.8170 0.5000  2 C 1.63
C: 0.5000 0.5000 0.0000  4 C 1.63
C: 0.6830 0.1830 0.5000  2 C 1.63

=====

[3]
DFT (PBE) results for an optimized crystal structure of TaBeCu2.

Computed properties:
**Space-group type**: R3m (160)
**Spin magnetization**: 0.00 μB/atom
**Density**: 9.861 g/cm³
**Formation energy**: 0.236 eV/atom

abc: 8.4096 8.4096 8.4096
angles: 18.70 18.70 18.70
Last column: nearest neighbours and their distance in Å.
Sites, in units of the cell vectors:
Ta: 0.0000 0.0000 0.0000  3 Be 2.70, 6 Ta 2.73, 3 Cu 2.79
Be: 0.2451 0.2451 0.2451  3 Cu 2.35
Cu: 0.5081 0.5081 0.5081  3 Be 2.35, 3 Cu 2.57
Cu: 0.7593 0.7593 0.7593  9 Cu 2.57-2.73, 3 Ta 2.79

=====

[4]
DFT (PBE) results for an optimized crystal structure of Cs3Ac2YS6.

Computed properties:
**Space-group type**: C2/m (12)
**Spin magnetization**: 0.00 μB/atom
**Density**: 4.690 g/cm³
**E_form (uncorrected)**: -1.8496 eV/atom

abc: 7.5619 7.5619 8.4902
angles: 98.54 98.54 119.99
Last column: nearest neighbours and their distance in Å.
Sites, in units of the cell vectors:
Cs: 0.0000 0.0000 0.0000  6 S 3.52-3.67
Cs: 0.3326 0.6674 0.0000  6 S 3.53-3.67
Cs: 0.6674 0.3326 0.0000  6 S 3.53-3.67
Ac: 0.1666 0.8334 0.5000  6 S 3.01
Ac: 0.8334 0.1666 0.5000  6 S 3.01
Y: 0.5000 0.5000 0.5000  6 S 2.82-2.83
S: 0.1228 0.4373 0.3122  1 Y 2.82, 2 Ac 3.01
S: 0.2481 0.2481 0.6884  1 Y 2.83, 2 Ac 3.01
S: 0.4373 0.1228 0.3122  1 Y 2.82, 2 Ac 3.01
S: 0.5627 0.8772 0.6878  1 Y 2.82, 2 Ac 3.01
S: 0.7519 0.7519 0.3116  1 Y 2.83, 2 Ac 3.01
S: 0.8772 0.5627 0.6878  1 Y 2.82, 2 Ac 3.01

=====

[5]
DFT (PBE) results for an optimized crystal structure of Ce5Mg2Zn.

Computed properties:
**Space-group type**: I4/mmm (139)
**Spin magnetization**: 0.47 μB/atom
**Density**: 6.651 g/cm³
**Formation energy**: 0.017 eV/atom

abc: 10.3513 10.3513 10.3513
angles: 154.63 154.63 36.19
Last column: nearest neighbours and their distance in Å.
Sites, in units of the cell vectors:
Ce: 0.0000 0.0000 0.0000  4 Zn 3.21, 8 Ce 3.26
Ce: 0.1191 0.6191 0.5000  6 Ce 3.21-3.26, 2 Zn 3.26, 4 Mg 3.42-3.45
Ce: 0.3809 0.8809 0.5000  6 Ce 3.21-3.26, 2 Zn 3.26, 4 Mg 3.42-3.45
Ce: 0.6191 0.1191 0.5000  6 Ce 3.21-3.26, 2 Zn 3.26, 4 Mg 3.42-3.45
Ce: 0.8809 0.3809 0.5000  6 Ce 3.21-3.26, 2 Zn 3.26, 4 Mg 3.42-3.45
Mg: 0.2492 0.2492 0.0000  4 Mg 3.22, 8 Ce 3.42-3.45
Mg: 0.7508 0.7508 0.0000  4 Mg 3.22, 8 Ce 3.42-3.45
Zn: 0.5000 0.5000 0.0000  12 Ce 3.21-3.26

=====

[6]
DFT (PBE) results for an optimized crystal structure of ZnAgGeW2.

Computed properties:
**Space-group type**: P4/mmm (123)
**Spin magnetization**: 0.92 μB/atom
**Density**: 8.780 g/cm³
**Formation energy**: 2.415 eV/atom

abc: 5.0221 5.0221 4.6012
angles: 90.00 90.00 90.00
Last column: nearest neighbours and their distance in Å.
Sites, in units of the cell vectors:
Zn: 0.0000 0.0000 0.0000  8 W 3.41, 4 Ge 3.55
Ag: 0.5000 0.5000 0.5000  2 Ge 2.30, 4 W 2.51
Ge: 0.5000 0.5000 0.0000  2 Ag 2.30
W: 0.0000 0.5000 0.5000  2 Ag 2.51
W: 0.5000 0.0000 0.5000  2 Ag 2.51

=====

[7]
DFT (PBE) results for an optimized crystal structure of BaNa3Sn3.

Computed properties:
**Space-group type**: Pm-3n (223)
**Spin magnetization**: 0.00 μB/atom
**Density**: 3.338 g/cm³
**Formation energy**: 0.257 eV/atom

abc: 8.2408 8.2408 8.2408
angles: 90.00 90.00 90.00
Last column: nearest neighbours and their distance in Å.
Sites, in units of the cell vectors:
Ba: 0.0000 0.0000 0.0000  12 Sn 4.61, 12 Na 4.61
Ba: 0.5000 0.5000 0.5000  12 Sn 4.61, 12 Na 4.61
Na: 0.0000 0.2500 0.5000  4 Sn 2.91
Na: 0.0000 0.7500 0.5000  4 Sn 2.91
Na: 0.2500 0.5000 0.0000  4 Sn 2.91
Na: 0.5000 0.0000 0.2500  4 Sn 2.91
Na: 0.5000 0.0000 0.7500  4 Sn 2.91
Na: 0.7500 0.5000 0.0000  4 Sn 2.91
Sn: 0.0000 0.5000 0.2500  4 Na 2.91
Sn: 0.0000 0.5000 0.7500  4 Na 2.91
Sn: 0.2500 0.0000 0.5000  4 Na 2.91
Sn: 0.5000 0.2500 0.0000  4 Na 2.91
Sn: 0.5000 0.7500 0.0000  4 Na 2.91
Sn: 0.7500 0.0000 0.5000  4 Na 2.91

=====

[8]
DFT (PBE) results for an optimized crystal structure of YMnIr2.

Computed properties:
**Space-group type**: F-43m (216)
**Spin magnetization**: 1.07 μB/atom
**Density**: 12.810 g/cm³
**Formation energy**: -0.017 eV/atom

abc: 4.5923 4.5923 4.5923
angles: 60.00 60.00 60.00
Last column: nearest neighbours and their distance in Å.
Sites, in units of the cell vectors:
Y: 0.0000 0.0000 0.0000  4 Mn 2.81, 4 Ir 2.81
Mn: 0.7500 0.7500 0.7500  4 Ir 2.81, 4 Y 2.81
Ir: 0.2500 0.2500 0.2500  4 Ir 2.81, 4 Y 2.81
Ir: 0.5000 0.5000 0.5000  4 Mn 2.81, 4 Ir 2.81

=====

[9]
DFT (PBE) results for an optimized crystal structure of Tl3Cu2PdCl9.

Computed properties:
**Space-group type**: P-3m1 (164)
**Spin magnetization**: 0.00 μB/atom
**Density**: 5.451 g/cm³
**E_form (uncorrected)**: -0.6964 eV/atom

abc: 6.9536 6.9536 8.4806
angles: 90.00 90.00 120.00
Last column: nearest neighbours and their distance in Å.
Sites, in units of the cell vectors:
Tl: 0.0000 0.0000 0.0000  12 Cl 3.47-3.48
Tl: 0.3333 0.6667 0.6779  12 Cl 3.39-3.54
Tl: 0.6667 0.3333 0.3221  12 Cl 3.39-3.54
Cu: 0.3333 0.6667 0.1626  6 Cl 2.44-2.47
Cu: 0.6667 0.3333 0.8374  6 Cl 2.44-2.47
Pd: 0.0000 0.0000 0.5000  6 Cl 2.46
Cl: 0.0000 0.5000 0.0000  2 Cu 2.44
Cl: 0.1670 0.3340 0.3331  1 Pd 2.46, 1 Cu 2.47
Cl: 0.1670 0.8330 0.3331  1 Pd 2.46, 1 Cu 2.47
Cl: 0.3340 0.1670 0.6669  1 Pd 2.46, 1 Cu 2.47
Cl: 0.5000 0.0000 0.0000  2 Cu 2.44
Cl: 0.5000 0.5000 0.0000  2 Cu 2.44
Cl: 0.6660 0.8330 0.3331  1 Pd 2.46, 1 Cu 2.47
Cl: 0.8330 0.1670 0.6669  1 Pd 2.46, 1 Cu 2.47
Cl: 0.8330 0.6660 0.6669  1 Pd 2.46, 1 Cu 2.47

=====

[10]
DFT (PBE) results for an optimized crystal structure of Mg2Cd2Pb.

Computed properties:
**Space-group type**: P4/mbm (127)
**Spin magnetization**: 0.00 μB/atom
**Density**: 6.600 g/cm³
**Formation energy**: -0.038 eV/atom

abc: 8.6829 8.6829 3.2081
angles: 90.00 90.00 90.00
Last column: nearest neighbours and their distance in Å.
Sites, in units of the cell vectors:
Mg: 0.1723 0.3277 0.0000  6 Cd 2.97-3.06, 2 Mg 3.21
Mg: 0.3277 0.8277 0.0000  6 Cd 2.97-3.06, 2 Mg 3.21
Mg: 0.6723 0.1723 0.0000  6 Cd 2.97-3.06, 2 Mg 3.21
Mg: 0.8277 0.6723 0.0000  6 Cd 2.97-3.06, 2 Mg 3.21
Cd: 0.1244 0.6244 0.5000  6 Mg 2.97-3.06, 3 Cd 3.06-3.21
Cd: 0.3756 0.1244 0.5000  6 Mg 2.97-3.06, 3 Cd 3.06-3.21
Cd: 0.6244 0.8756 0.5000  6 Mg 2.97-3.06, 3 Cd 3.06-3.21
Cd: 0.8756 0.3756 0.5000  6 Mg 2.97-3.06, 3 Cd 3.06-3.21
Pb: 0.0000 0.0000 0.5000  2 Pb 3.21, 4 Cd 3.44, 8 Mg 3.59
Pb: 0.5000 0.5000 0.5000  2 Pb 3.21, 4 Cd 3.44, 8 Mg 3.59

=====

[11]
DFT (PBE) results for an optimized crystal structure of Cs2CdIrO6.

Computed properties:
**Space-group type**: Fm-3m (225)
**Spin magnetization**: 0.00 μB/atom
**Density**: 6.959 g/cm³
**E_form (uncorrected)**: -0.8847 eV/atom

abc: 6.0813 6.0813 6.0813
angles: 60.00 60.00 60.00
Last column: nearest neighbours and their distance in Å.
Sites, in units of the cell vectors:
Cs: 0.2500 0.2500 0.2500  12 O 3.05
Cs: 0.7500 0.7500 0.7500  12 O 3.05
Cd: 0.0000 0.0000 0.0000  6 O 2.39
Ir: 0.5000 0.5000 0.5000  6 O 1.91
O: 0.2780 0.2780 0.7220  1 Ir 1.91
O: 0.2780 0.7220 0.2780  1 Ir 1.91
O: 0.2780 0.7220 0.7220  1 Ir 1.91
O: 0.7220 0.2780 0.2780  1 Ir 1.91
O: 0.7220 0.2780 0.7220  1 Ir 1.91
O: 0.7220 0.7220 0.2780  1 Ir 1.91

=====

[12]
DFT (PBE) results for an optimized crystal structure of MgBi2Pd.

Computed properties:
**Space-group type**: R-3m (166)
**Spin magnetization**: 0.00 μB/atom
**Density**: 8.429 g/cm³
**Formation energy**: -0.030 eV/atom

abc: 10.5388 10.5388 10.5388
angles: 18.97 18.97 18.97
Last column: nearest neighbours and their distance in Å.
Sites, in units of the cell vectors:
Mg: 0.0000 0.0000 0.0000  2 Bi 3.10, 6 Mg 3.47
Bi: 0.0999 0.0999 0.0999  3 Pd 2.88, 1 Mg 3.10
Bi: 0.9001 0.9001 0.9001  3 Pd 2.88, 1 Mg 3.10
Pd: 0.5000 0.5000 0.5000  6 Bi 2.88

=====

Which formula does entry 9 have? Tl3Cu2PdCl9